(1)
An optimized crystal structure of Ba6SeS2Br3. Source: Alexandria via LeMat-Bulk, functional PBE.

abc: 7.9925 7.9925 8.2370
angles: 99.31 99.31 119.97
Sites, in units of the cell vectors:
Ba (0.0857, 0.4262, 0.7786)
Ba (0.2330, 0.2330, 0.2207)
Ba (0.4262, 0.0857, 0.7786)
Ba (0.5738, 0.9143, 0.2214)
Ba (0.7670, 0.7670, 0.7793)
Ba (0.9143, 0.5738, 0.2214)
Se (0.5000, 0.5000, 0.0000)
S (0.1667, 0.8333, 0.0000)
S (0.8333, 0.1667, 0.0000)
Br (0.0000, 0.0000, 0.5000)
Br (0.3358, 0.6642, 0.5000)
Br (0.6642, 0.3358, 0.5000)

Results
Formation energy from raw total energies   -1.855 eV/atom
Magnetization   0.000 μB/cell

=====

(2)
An optimized crystal structure of Ca3TlP. Source: Alexandria via LeMat-Bulk, functional PBE.

abc: 4.8111 4.8111 17.9539
angles: 90.00 90.00 120.00
Sites, in units of the cell vectors:
Ca (0.0000, 0.0000, 0.2500)
Ca (0.0000, 0.0000, 0.7500)
Ca (0.3333, 0.6667, 0.0967)
Ca (0.3333, 0.6667, 0.4033)
Ca (0.6667, 0.3333, 0.5967)
Ca (0.6667, 0.3333, 0.9033)
Tl (0.0000, 0.0000, 0.0000)
Tl (0.0000, 0.0000, 0.5000)
P (0.3333, 0.6667, 0.2500)
P (0.6667, 0.3333, 0.7500)

Results
Energy of formation   -0.556 eV per atom
Energy above the lowest structure with this stoichiometry   0.165 eV/atom
Magnetization   0.000 μB/cell

=====

(3)
An optimized crystal structure of TaBeCr2. Source: Alexandria via LeMat-Bulk, functional PBE.

abc: 2.6697 3.9075 5.0248
angles: 90.00 102.24 90.00
Sites, in units of the cell vectors:
Ta (0.0000, 0.0000, 0.0000)
Be (0.6582, 0.5000, 0.2574)
Cr (0.2968, 0.5000, 0.6998)
Cr (0.5069, 0.0000, 0.5031)

Results
Energy of formation   0.152 eV per atom
Magnetization   0.000 μB/cell